Record 1
Material: Be4Co
Method: DFT, PBEsol
State: relaxed

Cell lengths 4.1487, 4.1487, 4.1487 Å; angles 95.60, 95.60, 143.58 degrees
Last column: nearest neighbours and their distance in Å.
Element x y z (fractional)
Be  0.1022  0.2997  0.4019  6 Be 2.17-2.20, 2 Co 2.19
Be  0.2997  0.8978  0.1976  6 Be 2.17-2.20, 2 Co 2.19
Be  0.7003  0.1022  0.8024  6 Be 2.17-2.20, 2 Co 2.19
Be  0.8978  0.7003  0.5981  6 Be 2.17-2.20, 2 Co 2.19
Co  0.5000  0.5000  0.0000  8 Be 2.19

Results
* crystal system: tetragonal
* DFT total energy: -4.9467 eV per atom
* energy of formation: -0.199 eV per atom

***

Record 2
Material: NbAgI3
Method: DFT, PBEsol
State: relaxed

Cell lengths 5.4870, 5.4870, 5.4870 Å; angles 90.00, 90.00, 90.00 degrees
Last column: nearest neighbours and their distance in Å.
Element x y z (fractional)
Nb  0.0000  0.0000  0.0000  6 I 2.74
Ag  0.5000  0.5000  0.5000  12 I 3.88
I  0.0000  0.0000  0.5000  2 Nb 2.74
I  0.0000  0.5000  0.0000  2 Nb 2.74
I  0.5000  0.0000  0.0000  2 Nb 2.74

Results
* crystal system: cubic
* uncorrected formation energy: 342 meV per atom
* DFT total energy: -3.5442 eV per atom

***

Record 3
Material: LiTc4Rh
Method: DFT, PBEsol
State: relaxed

Cell lengths 5.0031, 5.0031, 5.0031 Å; angles 60.00, 60.00, 60.00 degrees
Last column: nearest neighbours and their distance in Å.
Element x y z (fractional)
Li  0.0000  0.0000  0.0000  12 Tc 2.93, 4 Rh 3.06
Tc  0.1226  0.6258  0.6258  6 Tc 2.49-2.52
Tc  0.6258  0.1226  0.6258  6 Tc 2.49-2.52
Tc  0.6258  0.6258  0.1226  6 Tc 2.49-2.52
Tc  0.6258  0.6258  0.6258  6 Tc 2.49-2.52
Rh  0.2500  0.2500  0.2500  12 Tc 2.94, 4 Li 3.06

Results
* crystal system: cubic
* DFT total energy: -8.7757 eV per atom
* energy of formation: 0.419 eV per atom

***

Record 4
Material: Ba3CaBi2O9
Method: DFT, PBEsol
State: relaxed

Cell lengths 10.5427, 10.5427, 10.5427 Å; angles 146.48, 132.00, 59.81 degrees
Last column: nearest neighbours and their distance in Å.
Element x y z (fractional)
Ba  0.0784  0.3311  0.7473  12 O 3.01-3.14
Ba  0.2410  0.0000  0.2410  12 O 2.92-3.09
Ba  0.4161  0.6689  0.7473  12 O 3.01-3.14
Ba  0.5839  0.3311  0.2527  12 O 3.01-3.14
Ba  0.7590  0.0000  0.7590  12 O 2.92-3.09
Ba  0.9216  0.6689  0.2527  12 O 3.01-3.14
Ca  0.1667  0.1667  0.0000  6 O 2.23-2.24
Ca  0.8333  0.8333  0.0000  6 O 2.23-2.24
Bi  0.0000  0.5000  0.5000  6 O 2.06-2.18
Bi  0.3329  0.8329  0.5000  6 O 2.06-2.20
Bi  0.5000  0.5000  0.0000  6 O 2.10-2.11
Bi  0.6671  0.1671  0.5000  6 O 2.06-2.20
O  0.0798  0.3397  0.2599  1 Bi 2.06, 1 Ca 2.24
O  0.0798  0.8200  0.7401  1 Bi 2.06, 1 Ca 2.24
O  0.1014  0.8406  0.2608  1 Bi 2.06, 1 Ca 2.24
O  0.2546  0.0008  0.7462  1 Bi 2.07, 1 Ca 2.23
O  0.2547  0.5000  0.7547  2 Bi 2.10-2.18
O  0.2546  0.5084  0.2538  1 Bi 2.07, 1 Ca 2.23
O  0.4188  0.1726  0.7537  2 Bi 2.11-2.20
O  0.4188  0.6651  0.2463  2 Bi 2.11-2.20
O  0.4202  0.1594  0.2608  1 Bi 2.06, 1 Ca 2.24
O  0.5798  0.8406  0.7392  1 Bi 2.06, 1 Ca 2.24
O  0.5812  0.3349  0.7537  2 Bi 2.11-2.20
O  0.5812  0.8274  0.2463  2 Bi 2.11-2.20
O  0.7454  0.4916  0.7462  1 Bi 2.07, 1 Ca 2.23
O  0.7453  0.5000  0.2453  2 Bi 2.10-2.18
O  0.7454  0.9992  0.2538  1 Bi 2.07, 1 Ca 2.23
O  0.8986  0.1594  0.7392  1 Bi 2.06, 1 Ca 2.24
O  0.9202  0.1800  0.2599  1 Bi 2.06, 1 Ca 2.24
O  0.9202  0.6603  0.7401  1 Bi 2.06, 1 Ca 2.24

Results
* crystal system: orthorhombic
* uncorrected formation energy: -2042 meV per atom
* DFT total energy: -6.3350 eV per atom